Entry 1:
This record from Alexandria describes a relaxed KNa2Ca2 crystal. The functional is PBE-GGA.

Results
- energy above the most stable polymorph in this dataset (eV per atom) = 0.1230
- calculated formation energy (eV per atom) = 0.2478
- DOS at the Fermi energy (states/eV/atom) = 0.8248

```
KNa2Ca2
1.0
4.805 0.000 0.000
0.000 4.805 0.000
2.402 2.402 10.200
Na Ca K
2 2 1
direct
0.750 0.250 0.500
0.250 0.750 0.500
0.395 0.395 0.211
0.605 0.605 0.789
0.000 0.000 0.000
```

Entry 2:
This record from Alexandria describes a relaxed ZnGa2OsAu crystal. The functional is PBE-GGA.

Results
- calculated formation energy (eV per atom) = 0.4086
- DOS at the Fermi energy (states/eV/atom) = 0.7268

```
ZnGa2OsAu
1.0
4.761 0.000 0.000
0.000 4.852 0.000
0.000 0.000 4.761
Os Zn Au Ga
1 1 1 2
direct
0.000 0.000 0.000
0.000 0.500 0.000
0.500 0.500 0.500
0.000 0.000 0.500
0.500 0.000 0.000
```

Entry 3:
This record from Alexandria describes a relaxed Sm2ZnRhO6 crystal. The functional is PBE-GGA.

Results
- energy relative to the elements, uncorrected (eV per atom) = -2.219
- DOS at the Fermi energy (states/eV/atom) = 0.6956

```
Sm2ZnRhO6
1.0
-2.414 -4.855 -0.242
2.480 -0.975 -5.178
6.123 -3.214 3.538
Sm Zn Rh O
4 2 2 12
direct
0.022 0.925 0.251
0.522 0.575 0.751
0.978 0.075 0.749
0.478 0.425 0.249
0.500 0.000 0.000
0.000 0.500 0.500
0.500 0.000 0.500
0.000 0.500 0.000
0.307 0.690 0.055
0.807 0.810 0.555
0.693 0.310 0.945
0.193 0.190 0.445
0.318 0.702 0.442
0.818 0.798 0.942
0.682 0.298 0.558
0.182 0.202 0.058
0.887 0.538 0.247
0.387 0.962 0.747
0.113 0.462 0.753
0.613 0.038 0.253
```

Entry 4:
This record from Alexandria describes a relaxed Cs2ReSnH crystal. The functional is PBE-GGA.

Results
- DOS at the Fermi energy (states/eV/atom) = 0.5272
- E_tot (eV/atom) = -3.04

```
Cs2ReSnH
1.0
-2.812 4.694 0.824
-1.066 0.243 -5.022
-4.625 -2.918 0.841
Cs Re Sn H
2 1 1 1
direct
0.000 0.000 0.500
0.500 0.000 0.000
0.500 0.500 0.500
0.000 0.500 0.000
0.000 0.000 0.000
```

Entry 5:
This record from Alexandria describes a relaxed In2TcW crystal. The functional is PBE-GGA.

Results
- energy above the most stable polymorph in this dataset (eV per atom) = 0.2661
- calculated formation energy (eV per atom) = 0.4341
- DOS at the Fermi energy (states/eV/atom) = 0.5681

```
In2TcW
1.0
5.289 -0.007 -0.009
4.331 3.036 -0.009
1.462 0.460 4.707
In Tc W
2 1 1
direct
0.015 0.015 0.971
0.234 0.234 0.280
0.471 0.471 0.509
0.780 0.780 0.740
```

Entry 6:
This record from Alexandria describes a relaxed ReHg2SeO crystal. The functional is PBE-GGA.

Results
- energy relative to the elements, uncorrected (eV per atom) = 1.127
- DOS at the Fermi energy (states/eV/atom) = 0.4192

```
ReHg2SeO
1.0
5.067 0.000 0.000
0.000 3.831 0.000
0.000 0.000 5.067
O Re Hg Se
1 1 2 1
direct
0.000 0.000 0.000
0.500 0.500 0.500
0.000 0.000 0.500
0.500 0.000 0.000
0.000 0.500 0.000
```

Entry 7:
This record from Alexandria describes a relaxed AcGdCuPt crystal. The functional is PBE-GGA.

Results
- calculated formation energy (eV per atom) = -0.5965
- DOS at the Fermi energy (states/eV/atom) = 0.6896

```
AcGdCuPt
1.0
5.182 0.000 0.000
2.591 4.488 0.000
2.591 1.496 4.231
Ac Gd Cu Pt
1 1 1 1
direct
0.500 0.500 0.500
0.000 0.000 0.000
0.250 0.250 0.250
0.750 0.750 0.750
```

Entry 8:
This record from Alexandria describes a relaxed Mg2Cd2Cu crystal. The functional is PBE-GGA.

Results
- energy above the most stable polymorph in this dataset (eV per atom) = 0.0000
- calculated formation energy (eV per atom) = -0.0330
- DOS at the Fermi energy (states/eV/atom) = 0.3084

```
Mg2Cd2Cu
1.0
4.457 0.000 0.000
0.000 4.457 0.000
-2.229 -2.229 10.504
Mg Cd Cu
4 4 2
direct
0.818 0.818 0.636
0.568 0.068 0.136
0.932 0.432 0.864
0.182 0.182 0.364
0.424 0.924 0.849
0.674 0.674 0.349
0.326 0.326 0.651
0.076 0.576 0.151
0.500 0.500 0.000
0.250 0.750 0.500
```